{
  "formula": "CoBP2HPbO9",
  "functional": "GGA+U",
  "state": "relaxed",
  "dos_at_fermi_per_ev_fu": 0.0,
  "final_energy_ev_per_atom": -6.88,
  "sg": "No. 2",
  "density_g_cm3": 4.6,
  "cell": [[5.278, 0.000, 0.000], [0.318, 7.996, 0.000], [1.544, -0.039, 8.345]],
  "species": ["Co", "Co", "B", "B", "P", "P", "P", "P", "H", "H", "Pb", "Pb", "O", "O", "O", "O", "O", "O", "O", "O", "O", "O", "O", "O", "O", "O", "O", "O", "O", "O"],
  "frac_coords": [[0.231, 0.302, 0.199], [0.769, 0.698, 0.801], [0.372, 0.243, 0.546], [0.628, 0.757, 0.454], [0.272, 0.434, 0.818], [0.307, 0.929, 0.704], [0.693, 0.071, 0.296], [0.728, 0.566, 0.182], [0.019, 0.326, 0.499], [0.981, 0.674, 0.501], [0.235, 0.802, 0.076], [0.765, 0.198, 0.924], [0.012, 0.531, 0.198], [0.060, 0.870, 0.811], [0.197, 0.311, 0.443], [0.234, 0.106, 0.643], [0.280, 0.291, 0.943], [0.380, 0.813, 0.552], [0.403, 0.591, 0.862], [0.439, 0.369, 0.656], [0.473, 0.069, 0.199], [0.527, 0.931, 0.801], [0.561, 0.631, 0.344], [0.597, 0.409, 0.138], [0.620, 0.187, 0.448], [0.720, 0.709, 0.057], [0.766, 0.894, 0.357], [0.803, 0.689, 0.557], [0.940, 0.130, 0.189], [0.988, 0.469, 0.802]]
}